BaPt2W2: relaxed, PBE.

Calculated values
Size of the total moment (μB/cell): 0.0
E above lowest polymorph (meV/atom): 0.0
Energy relative to the elements (eV per atom): 0.19
SG: I4/mmm, No. 139

Cell and atoms, written as POSCAR:
```
BaPt2W2
1.0
3.903 0.000 0.000
0.000 3.903 0.000
1.952 1.952 6.956
Pt Ba W
2 1 2
Direct
0.388 0.388 0.225
0.612 0.612 0.775
0.000 0.000 0.000
0.750 0.250 0.500
0.250 0.750 0.500
```


BaPt3W: relaxed, PBE.

Calculated values
Size of the total moment (μB/cell): 0.0
E above lowest polymorph (meV/atom): 0.0
Energy relative to the elements (eV per atom): 0.06
SG: Pm-3m, No. 221

Cell and atoms, written as POSCAR:
```
BaPt3W
1.0
4.990 0.000 0.000
0.000 4.990 0.000
0.000 0.000 4.990
Pt W Ba
3 1 1
Direct
0.000 0.500 0.000
0.500 0.000 0.000
0.000 0.000 0.500
0.000 0.000 0.000
0.500 0.500 0.500
```


Ba2PtW: relaxed, PBE.

Calculated values
Size of the total moment (μB/cell): 3.3
E above lowest polymorph (meV/atom): 462.5
Energy relative to the elements (eV per atom): 0.78
SG: P4/mmm, No. 123

Cell and atoms, written as POSCAR:
```
Ba2PtW
1.0
4.021 0.000 0.000
0.000 4.021 0.000
0.000 0.000 7.411
Ba W Pt
2 1 1
Direct
0.000 0.000 0.016
0.000 0.000 0.484
0.500 0.500 0.750
0.500 0.500 0.250
```


Ba4PtW: relaxed, PBE.

Calculated values
Size of the total moment (μB/cell): 4.3
Energy relative to the elements (eV per atom): 1.36
SG: F-43m, No. 216

Cell and atoms, written as POSCAR:
```
Ba4PtW
1.0
-6.538 -1.886 -0.119
-4.851 4.614 -1.227
-3.400 -0.122 -5.895
Ba W Pt
4 1 1
Direct
0.376 0.873 0.376
0.376 0.376 0.376
0.376 0.376 0.873
0.873 0.376 0.376
0.000 0.000 0.000
0.750 0.750 0.750
```


Repeat the second record exactly.
BaPt3W: relaxed, PBE.

Calculated values
Size of the total moment (μB/cell): 0.0
E above lowest polymorph (meV/atom): 0.0
Energy relative to the elements (eV per atom): 0.06
SG: Pm-3m, No. 221

Cell and atoms, written as POSCAR:
```
BaPt3W
1.0
4.990 0.000 0.000
0.000 4.990 0.000
0.000 0.000 4.990
Pt W Ba
3 1 1
Direct
0.000 0.500 0.000
0.500 0.000 0.000
0.000 0.000 0.500
0.000 0.000 0.000
0.500 0.500 0.500
```